No. 1
Material: Pa2MnCo3P4
Method: DFT, PBE
State: optimized geometry

```
data_Pa2MnCo3P4
_cell_length_a 3.9587
_cell_length_b 3.9587
_cell_length_c 8.9424
_cell_angle_alpha 90.00
_cell_angle_beta 90.00
_cell_angle_gamma 90.00
_symmetry_space_group_name_H-M 'P -4 m 2'
_symmetry_Int_Tables_number 115
_symmetry_space_group_name_Hall 'P -4 -2'
loop_
_atom_site_label
_atom_site_type_symbol
_atom_site_fract_x
_atom_site_fract_y
_atom_site_fract_z
_atom_site_occupancy
Pa1 Pa 0.0000 0.5000 0.2495 1
Mn1 Mn 0.5000 0.5000 0.0000 1
Co1 Co 0.0000 0.0000 0.0000 1
Co2 Co 0.0000 0.5000 0.6130 1
P1 P 0.0000 0.0000 0.5000 1
P2 P 0.0000 0.5000 0.8660 1
P3 P 0.5000 0.5000 0.5000 1
```

Results
Total magnetization (μB/f.u.): 0.00
Energy of formation from the pure elements (eV per formula unit): -10.07

---

No. 2
Material: PaMnCo2P2
Method: DFT, PBE
State: optimized geometry

```
data_PaMnCo2P2
_cell_length_a 3.8880
_cell_length_b 3.8880
_cell_length_c 6.3958
_cell_angle_alpha 90.00
_cell_angle_beta 90.00
_cell_angle_gamma 120.00
_symmetry_space_group_name_H-M 'P -3 m 1'
_symmetry_Int_Tables_number 164
_symmetry_space_group_name_Hall '-P 3 2"'
loop_
_atom_site_label
_atom_site_type_symbol
_atom_site_fract_x
_atom_site_fract_y
_atom_site_fract_z
_atom_site_occupancy
Pa1 Pa 0.0000 0.0000 0.0000 1
Mn1 Mn 0.0000 0.0000 0.5000 1
Co1 Co 0.3333 0.6667 0.6722 1
P1 P 0.3333 0.6667 0.2843 1
```

Results
Total magnetization (μB/f.u.): 3.36
Energy of formation from the pure elements (eV per formula unit): -4.71

---

What is the formula in the second record? PaMnCo2P2

---

Please write out number 2 again, unchanged.
Material: PaMnCo2P2
Method: DFT, PBE
State: optimized geometry

```
data_PaMnCo2P2
_cell_length_a 3.8880
_cell_length_b 3.8880
_cell_length_c 6.3958
_cell_angle_alpha 90.00
_cell_angle_beta 90.00
_cell_angle_gamma 120.00
_symmetry_space_group_name_H-M 'P -3 m 1'
_symmetry_Int_Tables_number 164
_symmetry_space_group_name_Hall '-P 3 2"'
loop_
_atom_site_label
_atom_site_type_symbol
_atom_site_fract_x
_atom_site_fract_y
_atom_site_fract_z
_atom_site_occupancy
Pa1 Pa 0.0000 0.0000 0.0000 1
Mn1 Mn 0.0000 0.0000 0.5000 1
Co1 Co 0.3333 0.6667 0.6722 1
P1 P 0.3333 0.6667 0.2843 1
```

Results
Total magnetization (μB/f.u.): 3.36
Energy of formation from the pure elements (eV per formula unit): -4.71

---

Among the records above, which one has the highest energy of formation from the pure elements? PaMnCo2P2